# 1
An optimized crystal structure of Fe2Pb, computed with PBE.

**Mass density**: 10.3 g/cm³
**DFT formation energy**: 0.68 eV/atom
**N(E_F)**: 3.12 states/eV/f.u.
**Raw total energy**: -37.192 eV/cell

CIF file:
```
data_Fe2Pb
_cell_length_a 7.2358
_cell_length_b 7.2358
_cell_length_c 7.2358
_cell_angle_alpha 148.62
_cell_angle_beta 148.62
_cell_angle_gamma 44.97
_symmetry_space_group_name_H-M 'P 1'
_symmetry_Int_Tables_number 1
_symmetry_space_group_name_Hall 'P 1'
loop_
_atom_site_label
_atom_site_type_symbol
_atom_site_fract_x
_atom_site_fract_y
_atom_site_fract_z
Fe1 Fe 0.1648 0.6648 0.5000
Fe2 Fe 0.5852 0.5852 0.0000
Fe3 Fe 0.3352 0.8352 0.5000
Fe4 Fe 0.4148 0.4148 0.0000
Pb1 Pb 0.7500 0.2500 0.5000
Pb2 Pb 0.0000 0.0000 0.0000
```


# 2
An optimized crystal structure of KAc2MnS6, computed with PBE.

**ΔE_f (raw)**: -1.32 eV/atom
**Mass density**: 5.1 g/cm³
**N(E_F)**: 2.72 states/eV/f.u.
**Raw total energy**: -112.800 eV/cell

CIF file:
```
data_KAc2MnS6
_cell_length_a 5.7886
_cell_length_b 7.9373
_cell_length_c 10.4749
_cell_angle_alpha 90.00
_cell_angle_beta 95.00
_cell_angle_gamma 90.00
_symmetry_space_group_name_H-M 'P 1'
_symmetry_Int_Tables_number 1
_symmetry_space_group_name_Hall 'P 1'
loop_
_atom_site_label
_atom_site_type_symbol
_atom_site_fract_x
_atom_site_fract_y
_atom_site_fract_z
K1 K 0.5000 0.0000 0.0000
K2 K 0.0000 0.5000 0.5000
Ac1 Ac 0.0494 0.9009 0.2408
Ac2 Ac 0.5494 0.5991 0.7408
Ac3 Ac 0.9506 0.0991 0.7592
Ac4 Ac 0.4506 0.4009 0.2592
Mn1 Mn 0.5000 0.0000 0.5000
Mn2 Mn 0.0000 0.5000 0.0000
S1 S 0.3739 0.6006 0.0149
S2 S 0.8739 0.8994 0.5149
S3 S 0.6261 0.3994 0.9851
S4 S 0.1261 0.1006 0.4851
S5 S 0.4251 0.7079 0.4547
S6 S 0.9251 0.7921 0.9547
S7 S 0.5749 0.2921 0.5453
S8 S 0.0749 0.2079 0.0453
S9 S 0.9552 0.5361 0.2216
S10 S 0.4552 0.9639 0.7216
S11 S 0.0448 0.4639 0.7784
S12 S 0.5448 0.0361 0.2784
```


# 3
An optimized crystal structure of AcCeMoN4, computed with PBE.

**ΔE_f (raw)**: -1.01 eV/atom
**Mass density**: 8.3 g/cm³
**N(E_F)**: 4.53 states/eV/f.u.
**Raw total energy**: -122.431 eV/cell

CIF file:
```
data_AcCeMoN4
_cell_length_a 5.5995
_cell_length_b 5.6785
_cell_length_c 7.0955
_cell_angle_alpha 90.00
_cell_angle_beta 113.24
_cell_angle_gamma 90.00
_symmetry_space_group_name_H-M 'P 1'
_symmetry_Int_Tables_number 1
_symmetry_space_group_name_Hall 'P 1'
loop_
_atom_site_label
_atom_site_type_symbol
_atom_site_fract_x
_atom_site_fract_y
_atom_site_fract_z
Ac1 Ac 0.6077 0.7500 0.2154
Ac2 Ac 0.3923 0.2500 0.7846
Ce1 Ce 0.1022 0.2500 0.2045
Ce2 Ce 0.8978 0.7500 0.7955
Mo1 Mo 0.2649 0.7500 0.5298
Mo2 Mo 0.7351 0.2500 0.4702
N1 N 0.9375 0.2500 0.8751
N2 N 0.4125 0.7500 0.8250
N3 N 0.0625 0.7500 0.1249
N4 N 0.5875 0.2500 0.1750
N5 N 0.5000 0.5000 0.5000
N6 N 0.0000 0.0000 0.5000
N7 N 0.5000 0.0000 0.5000
N8 N 0.0000 0.5000 0.5000
```


# 4
An optimized crystal structure of HgAsN2F, computed with PBE.

**ΔE_f (raw)**: 1.59 eV/atom
**Mass density**: 6.7 g/cm³
**ΔE to the lowest computed polymorph**: 4.49 eV/f.u.
**N(E_F)**: 1.98 states/eV/f.u.
**Raw total energy**: -15.544 eV/cell

CIF file:
```
data_HgAsN2F
_cell_length_a 4.2709
_cell_length_b 4.2709
_cell_length_c 4.3828
_cell_angle_alpha 90.00
_cell_angle_beta 90.00
_cell_angle_gamma 90.00
_symmetry_space_group_name_H-M 'P 1'
_symmetry_Int_Tables_number 1
_symmetry_space_group_name_Hall 'P 1'
loop_
_atom_site_label
_atom_site_type_symbol
_atom_site_fract_x
_atom_site_fract_y
_atom_site_fract_z
As1 As 0.5000 0.5000 0.5000
N1 N 0.0000 0.5000 0.0000
N2 N 0.5000 0.0000 0.0000
Hg1 Hg 0.0000 0.0000 0.0000
F1 F 0.0000 0.0000 0.5000
```


> What is the formula in the third record?

AcCeMoN4


> Look up the raw total energy of the first one.

-37.192 eV/cell


> Among the records above, which one has the lowest mass density?

KAc2MnS6


> What is the formula in the third record?

AcCeMoN4